No. 1
VASP calculation (GGA-PBE) on an optimized crystal structure of Zr2Pt2S.

a = 4.6971 Å, b = 4.6971 Å, c = 6.0477 Å
α = 67.15°, β = 67.15°, γ = 90.00°
Sites, in units of the cell vectors:
S 0.0000 0.0000 0.0000
Pt 0.6251 0.6251 0.7499
Zr 0.2500 0.7500 0.5000
Pt 0.3749 0.3749 0.2501
Zr 0.7500 0.2500 0.5000

Values from the calculation:
**Total energy**: -35.6 eV per cell
**Spin magnetization**: 0.00 μB/atom



No. 2
VASP calculation (GGA-PBE) on an optimized crystal structure of Tb2Dy6Y3Zr.

a = 6.0909 Å, b = 6.0909 Å, c = 11.6592 Å
α = 94.96°, β = 94.96°, γ = 119.91°
Sites, in units of the cell vectors:
Tb 0.6668 0.3332 0.0000
Dy 0.7549 0.7549 0.2437
Dy 0.9185 0.5915 0.7558
Dy 0.5915 0.9185 0.7558
Dy 0.0815 0.4085 0.2442
Y 0.1665 0.8335 0.5000
Y 0.5000 0.5000 0.5000
Zr 0.0000 0.0000 0.0000
Dy 0.4085 0.0815 0.2442
Y 0.8335 0.1665 0.5000
Dy 0.2451 0.2451 0.7563
Tb 0.3332 0.6668 0.0000

Values from the calculation:
**Spin magnetization**: 0.00 μB/atom
**Formation energy**: 0.046 eV per atom



No. 3
VASP calculation (GGA-PBE) on an optimized crystal structure of TaTiGe2.

a = 2.9742 Å, b = 2.9742 Å, c = 8.9387 Å
α = 80.42°, β = 80.42°, γ = 60.00°
Sites, in units of the cell vectors:
Ge 0.2513 0.2513 0.2461
Ta 0.5000 0.5000 0.5000
Ti 0.0000 0.0000 0.0000
Ge 0.7487 0.7487 0.7539

Values from the calculation:
**Spin magnetization**: 0.00 μB/atom
**Formation energy**: -0.112 eV per atom



No. 4
VASP calculation (GGA-PBE) on an optimized crystal structure of Ba8AgPt2.

a = 6.6972 Å, b = 10.2244 Å, c = 10.2217 Å
α = 120.03°, β = 90.00°, γ = 90.00°
Sites, in units of the cell vectors:
Ag 0.0000 0.0000 0.0000
Ba 0.2514 0.6719 0.8351
Ba 0.7494 0.3333 0.6667
Pt 0.7562 0.6667 0.3332
Ba 0.2513 0.1647 0.8366
Ba 0.2506 0.6667 0.3332
Pt 0.2438 0.3333 0.6668
Ba 0.7486 0.8366 0.6719
Ba 0.7487 0.8353 0.1634
Ba 0.7486 0.3281 0.1649
Ba 0.2514 0.1634 0.3281

Values from the calculation:
**Spin magnetization**: 0.00 μB/atom
**Formation energy**: -0.227 eV per atom